A plane-wave DFT calculation with GGA-PBE was carried out for a geometry-optimized Li3Pm3TiS8 structure.

Structure (CIF):
```
data_Li3Pm3TiS8
_cell_length_a 7.641
_cell_length_b 7.641
_cell_length_c 7.641
_cell_angle_alpha 62.17
_cell_angle_beta 62.17
_cell_angle_gamma 62.17
_space_group_name_H-M_alt 'P 1'
_space_group_IT_number 1
_space_group_name_Hall 'P 1'
loop_
_atom_site_label
_atom_site_fract_x
_atom_site_fract_y
_atom_site_fract_z
_atom_site_occupancy
Li1 0.000 0.500 0.500 1
Li2 0.500 0.000 0.500 1
Li3 0.500 0.500 0.000 1
Pm1 0.000 0.000 0.500 1
Pm2 0.000 0.500 0.000 1
Pm3 0.500 0.000 0.000 1
Ti1 0.500 0.500 0.500 1
S1 0.253 0.253 0.253 1
S2 0.273 0.273 0.718 1
S3 0.273 0.718 0.273 1
S4 0.282 0.727 0.727 1
S5 0.718 0.273 0.273 1
S6 0.727 0.282 0.727 1
S7 0.727 0.727 0.282 1
S8 0.747 0.747 0.747 1
```

The value obtained for the total energy is -0.421 Ry/atom. The value obtained for the energy relative to the elements, uncorrected is -1.672 eV per atom. The calculation puts the spin magnetization at 0.000 μB/atom.